1.
! PBE-GGA Cd2Sn2SbP3, optimized geometry; values from VASP
&SYSTEM
  ibrav = 0, nat = 8, ntyp = 4
/
ATOMIC_SPECIES
Cd 112.41 Cd.upf
P 30.97 P.upf
Sb 121.76 Sb.upf
Sn 118.71 Sn.upf
ATOMIC_POSITIONS crystal
Cd 0.008 0.720 0.134
Cd 0.280 0.992 0.866
P 0.620 0.880 0.261
P 0.374 0.626 0.500
P 0.120 0.380 0.739
Sb 0.883 0.117 0.000
Sn 0.737 0.520 0.391
Sn 0.480 0.263 0.609
CELL_PARAMETERS angstrom
0.339 6.936 -2.455
-5.039 4.199 -3.352
-0.775 -0.473 6.089
! SG: C2, No. 5
! Calculated volume, A^3/atom: 28.1

=====

2.
! PBE-GGA Nd2Cu5Ni5, optimized geometry; values from VASP
&SYSTEM
  ibrav = 0, nat = 12, ntyp = 3
/
ATOMIC_SPECIES
Cu 63.55 Cu.upf
Nd 144.24 Nd.upf
Ni 58.69 Ni.upf
ATOMIC_POSITIONS crystal
Cu 0.500 0.251 0.249
Cu 0.500 0.749 0.249
Cu 0.500 0.000 0.500
Cu 0.500 0.251 0.751
Cu 0.500 0.749 0.751
Nd 0.000 0.000 0.000
Nd 0.000 0.500 0.500
Ni 0.500 0.500 0.000
Ni 0.000 0.500 0.162
Ni 0.000 0.000 0.335
Ni 0.000 0.000 0.665
Ni 0.000 0.500 0.838
CELL_PARAMETERS angstrom
-1.605 3.201 -1.888
-4.301 -2.479 -0.547
-2.745 3.092 7.575
! SG: Pmmm, No. 47
! E_form, eV/atom: -0.248
! Calculated volume, A^3/atom: 14.5
! Total magnetic moment, μB per cell: 0.00

=====

3.
! PBE-GGA KAsAuO, optimized geometry; values from VASP
&SYSTEM
  ibrav = 0, nat = 8, ntyp = 4
/
ATOMIC_SPECIES
As 74.92 As.upf
Au 196.97 Au.upf
K 39.10 K.upf
O 16.00 O.upf
ATOMIC_POSITIONS crystal
As 0.750 0.750 0.033
As 0.250 0.250 0.967
Au 0.250 0.250 0.252
Au 0.750 0.750 0.748
K 0.750 0.250 0.500
K 0.250 0.750 0.500
O 0.750 0.250 0.000
O 0.250 0.750 0.000
CELL_PARAMETERS angstrom
4.497 0.000 0.000
0.000 4.497 0.000
0.000 0.000 9.044
! Distance to the lowest polymorph of the same formula, eV/atom: 0.328
! SG: P4/nmm, No. 129
! Calculated volume, A^3/atom: 22.9

=====

| no. | uncorrected energy (eV/atom) |
| --- | --- |
| 1 | -3.8324 |
| 2 | -4.9100 |
| 3 | -3.4842 |